# Sm2ZnPt PBE-GGA relaxed
data_Sm2ZnPt
_symmetry_space_group_name_H-M 'P 1 21/m 1'
_symmetry_Int_Tables_number 11
_cell_length_a 5.937
_cell_length_b 4.560
_cell_length_c 7.688
_cell_angle_alpha 90.00
_cell_angle_beta 112.13
_cell_angle_gamma 90.00
loop_
_symmetry_equiv_pos_as_xyz
'x,y,z'
'-x,-y,-z'
'-x,y+1/2,-z'
'x,-y+1/2,z'
loop_
_atom_site_label
_atom_site_type_symbol
_atom_site_fract_x
_atom_site_fract_y
_atom_site_fract_z
_atom_site_occupancy
Sm1 Sm 0.182 0.250 0.416 1
Sm2 Sm 0.282 0.750 0.070 1
Zn1 Zn 0.374 0.750 0.706 1
Pt1 Pt 0.147 0.250 0.789 1
# * VASP energy: -4.96 eV per atom